Material: Pm8SiPb2
Method: DFT, GGA-PBE
State: optimized geometry Values from VASP.

Properties
space-group type = No. 12
VASP energy = -4.930 eV per atom

Geometry as Quantum ESPRESSO input:
```
&SYSTEM
  ibrav = 0, nat = 11, ntyp = 3
/
ATOMIC_SPECIES
Pm 145.00 Pm.upf
Si 28.09 Si.upf
Pb 207.20 Pb.upf
CELL_PARAMETERS angstrom
5.2030 0.0000 0.0000
0.0000 6.8869 0.1240
-2.6015 -2.7349 9.4885
ATOMIC_POSITIONS angstrom
Pm 0.0000 1.4564 7.8816
Pm 2.6015 -0.8045 2.8491
Pm 2.6015 3.1159 5.4469
Pm 2.6015 -1.1245 9.2417
Pm 0.0000 1.0361 4.1655
Pm 0.0000 4.9564 6.7633
Pm 2.6015 2.6956 1.7309
Pm 0.0000 5.2765 0.3708
Si 2.6015 0.0000 0.0000
Pb 2.6015 -0.0812 6.1398
Pb 0.0000 4.2331 3.4726
```